DFT (GGA-PBE) results for a relaxed structure of Sn2Pt6Rh.

Cell and atoms, written as CIF:
```
data_Sn2Pt6Rh
_chemical_formula_sum 'Sn2 Pt6 Rh1'
_cell_length_a 3.9924
_cell_length_b 6.4888
_cell_length_c 6.4028
_cell_angle_alpha 108.38
_cell_angle_beta 108.17
_cell_angle_gamma 90.00
_space_group_name_H-M_alt 'P 1'
_space_group_IT_number 1
_space_group_name_Hall 'P 1'
loop_
_atom_site_label
_atom_site_type_symbol
_atom_site_fract_x
_atom_site_fract_y
_atom_site_fract_z
Pt1 Pt 0.1709 0.5043 0.3418
Pt2 Pt 0.8291 0.4957 0.6582
Pt3 Pt 0.7240 0.8350 0.4480
Pt4 Pt 0.2760 0.1650 0.5520
Pt5 Pt 0.6057 0.1708 0.2113
Pt6 Pt 0.3943 0.8292 0.7887
Sn1 Sn 0.9396 0.1845 0.8792
Sn2 Sn 0.0604 0.8155 0.1208
Rh1 Rh 0.5000 0.5000 0.0000
```

Calculated values
For the relative energy among the computed polymorphs, the calculation gives 0 meV per atom. Its symmetry is No. 12. Its energy of formation is -0.25 eV per atom. As for the calculated volume: 149 Å³ per cell.

***

DFT (GGA-PBE) results for a relaxed structure of TbEuHgGe.

Cell and atoms, written as CIF:
```
data_TbEuHgGe
_chemical_formula_sum 'Tb1 Eu1 Hg1 Ge1'
_cell_length_a 5.2706
_cell_length_b 5.2706
_cell_length_c 5.2706
_cell_angle_alpha 60.00
_cell_angle_beta 60.00
_cell_angle_gamma 60.00
_space_group_name_H-M_alt 'P 1'
_space_group_IT_number 1
_space_group_name_Hall 'P 1'
loop_
_atom_site_label
_atom_site_type_symbol
_atom_site_fract_x
_atom_site_fract_y
_atom_site_fract_z
Eu1 Eu 0.5000 0.5000 0.5000
Tb1 Tb 0.0000 0.0000 0.0000
Hg1 Hg 0.7500 0.7500 0.7500
Ge1 Ge 0.2500 0.2500 0.2500
```

Calculated values
Its symmetry is No. 216. Its energy of formation is -0.55 eV per atom. As for the calculated volume: 104 Å³ per cell.

***

no.,Fermi-level density of states (states/eV per cell)
1,8.6
2,3.1